Sc5Tl2Ga2: optimized geometry, PBE.

```
Sc5Tl2Ga2
1.0
-3.3048 5.8760 2.6809
-6.3582 -3.6301 0.1184
4.6731 -0.5711 7.0125
Sc Tl Ga
10 4 4
Direct
0.3223 0.6924 0.7497
0.6777 0.3076 0.2503
0.0000 0.0000 0.0000
0.8223 0.5573 0.7497
0.3223 0.9427 0.2503
0.8223 0.8076 0.2503
0.1777 0.1924 0.7497
0.6777 0.0573 0.7497
0.5000 0.5000 0.0000
0.1777 0.4427 0.2503
0.5000 0.7214 0.4428
0.0000 0.7786 0.5572
0.5000 0.2786 0.5572
0.0000 0.2214 0.4428
0.8754 0.3774 0.0000
0.3754 0.1226 0.0000
0.1246 0.6226 0.0000
0.6246 0.8774 0.0000
```

Summary:
symmetry: Cmce (64)
energy relative to the elements: -3.87 eV/f.u.